# 1
This record from OQMD describes BaLiGdSe3 after structural relaxation. The functional is PBE.

Computed properties:
* V: 654.18 Å³/cell
* ΔE to the lowest computed polymorph: 0.000 eV/atom

Cell: 10.8367 4.2836 14.0926 Å, 90.00 90.00 90.00°
Space group Pnma (No. 62)
Symmetry-distinct sites (fractional):
Ba1 0.2413 0.2500 0.0027 [4 per cell]
Li1 0.2412 0.7500 0.7774 [4 per cell]
Gd1 0.0091 0.7500 0.2522 [4 per cell]
Se1 0.0522 0.7500 0.8821 [4 per cell]
Se2 0.0712 0.2500 0.3842 [4 per cell]
Se3 0.2420 0.2500 0.6794 [4 per cell]


# 2
This record from OQMD describes YNpPt after structural relaxation. The functional is PBE.

Computed properties:
* V: 314.75 Å³/cell
* ΔE to the lowest computed polymorph: 0.000 eV/atom
* ΔE_f: -0.31 eV/atom

Cell: 6.8023 6.8023 6.8023 Å, 90.00 90.00 90.00°
Space group F-43m (No. 216)
Symmetry-distinct sites (fractional):
Y1 0.0000 0.0000 0.0000 [4 per cell]
Np1 0.0000 0.0000 0.5000 [4 per cell]
Pt1 0.2500 0.2500 0.7500 [4 per cell]


# 3
This record from OQMD describes ZrGeTeSe3 after structural relaxation. The functional is PBE.

Computed properties:
* V: 659.68 Å³/cell
* ΔE to the lowest computed polymorph: 0.000 eV/atom

Cell: 3.8314 16.2877 10.5710 Å, 90.00 90.00 90.00°
Space group Cmc2_1 (No. 36)
Symmetry-distinct sites (fractional):
Zr1 0.0000 0.1571 0.0000 [4 per cell]
Ge1 0.0000 0.2752 0.7973 [4 per cell]
Te1 0.0000 0.4005 0.3020 [4 per cell]
Se1 0.0000 0.1257 0.2665 [4 per cell]
Se2 0.0000 0.2285 0.5708 [4 per cell]
Se3 0.0000 0.4653 0.5233 [4 per cell]


# 4
This record from OQMD describes Nd2Si2MoWN after structural relaxation. The functional is PBE.

Computed properties:
* V: 256.68 Å³/cell
* energy: -0.6044 Ry per atom

Cell: 11.2392 3.8631 7.3153 Å, 90.00 126.09 90.00°
Space group Cm (No. 8)
Symmetry-distinct sites (fractional):
Nd1 0.0000 0.0000 0.0000 [2 per cell]
Nd2 0.1506 0.0000 0.6021 [2 per cell]
Si1 0.2114 0.5000 0.9743 [2 per cell]
Si2 0.4401 0.0000 0.6296 [2 per cell]
Mo1 0.3734 0.0000 0.2230 [2 per cell]
W1 0.2790 0.5000 0.3799 [2 per cell]
N1 0.0785 0.5000 0.3025 [2 per cell]


# 5
This record from OQMD describes CdTePb6O10 after structural relaxation. The functional is PBE.

Computed properties:
* V: 1198.45 Å³/cell
* energy: -0.3924 Ry per atom

Cell: 9.1273 11.5705 11.3482 Å, 90.00 90.00 90.00°
Space group C222_1 (No. 20)
Symmetry-distinct sites (fractional):
Cd1 0.0000 0.0792 0.2500 [4 per cell]
Te1 0.1767 0.0000 0.0000 [4 per cell]
Pb1 0.0000 0.4871 0.7500 [4 per cell]
Pb2 0.0069 0.2821 0.4873 [8 per cell]
Pb3 0.2045 0.2126 0.7586 [8 per cell]
Pb4 0.2081 0.0000 0.5000 [4 per cell]
O1 0.0207 0.0636 0.8960 [8 per cell]
O2 0.1299 0.3846 0.1489 [8 per cell]
O3 0.1527 0.1728 0.3726 [8 per cell]
O4 0.1728 0.1423 0.0936 [8 per cell]
O5 0.1778 0.4310 0.3946 [8 per cell]


# 6
This record from OQMD describes Hg2Sb after structural relaxation. The functional is PBE.

Computed properties:
* V: 610.69 Å³/cell
* energy: -0.0906 Ry per atom

Cell: 8.4841 8.4841 8.4841 Å, 90.00 90.00 90.00°
Space group Fd-3m (No. 227, origin choice 2)
Symmetry-distinct sites (fractional):
Hg1 0.0000 0.0000 0.0000 [16 per cell]
Sb1 0.1250 0.1250 0.6250 [8 per cell]